# 1
NdTmNi2Sn after structural relaxation, computed with GGA-PBE.

Theoretical density in g/cm3: 8.81
Space-group type: No. 38
VASP energy in eV/atom: -5.444
V in Å³ per atom: 20.696

abc: 3.6877 7.2801 7.2801
angles: 31.97 90.00 90.00
Sites, in units of the cell vectors:
Nd  0.0000  0.0000  0.0000
Tm  0.0000  0.2728  0.2728
Ni  0.5000  0.4322  0.4322
Ni  0.5000  0.8300  0.8300
Sn  0.5000  0.6400  0.6400

---

# 2
ErTaCd after structural relaxation, computed with GGA-PBE.

Theoretical density in g/cm3: 9.35
Space-group type: No. 216
VASP energy in eV/atom: -4.500
ΔE_f in kJ per mole of atoms: 122.5
V in Å³ per atom: 27.264

abc: 4.8724 4.8724 4.8724
angles: 60.00 60.00 60.00
Sites, in units of the cell vectors:
Er  0.0000  0.0000  0.0000
Ta  0.2500  0.2500  0.2500
Cd  0.7500  0.7500  0.7500

---

# 3
DyNiGe after structural relaxation, computed with GGA-PBE.

Theoretical density in g/cm3: 7.26
Space-group type: No. 216
VASP energy in eV/atom: -4.778
V in Å³ per atom: 22.396

abc: 4.5632 4.5632 4.5632
angles: 60.00 60.00 60.00
Sites, in units of the cell vectors:
Dy  0.0000  0.0000  0.0000
Ni  0.2500  0.2500  0.2500
Ge  0.7500  0.7500  0.7500